Compound: La12Cu3H5
Source: the Alexandria database
Functional: PBE
Structure: optimized geometry

The calculation puts the density of states at the Fermi level at 1.117 states/eV/atom. The electronic total energy comes out at -4.5933 eV per atom. The space-group type is Ia-3d.

Unit cell a=13.815 b=13.815 c=13.815 alpha=109.47 beta=109.47 gamma=109.47
Fractional positions:
1 La 0.025 0.216 0.115
2 La 0.025 0.309 0.911
3 La 0.089 0.615 0.398
4 La 0.089 0.975 0.691
5 La 0.102 0.716 0.691
6 La 0.102 0.885 0.411
7 La 0.115 0.025 0.216
8 La 0.115 0.589 0.898
9 La 0.191 0.216 0.602
10 La 0.191 0.475 0.589
11 La 0.216 0.115 0.025
12 La 0.216 0.602 0.191
13 La 0.284 0.309 0.898
14 La 0.284 0.475 0.385
15 La 0.309 0.898 0.284
16 La 0.309 0.911 0.025
17 La 0.385 0.284 0.475
18 La 0.385 0.602 0.911
19 La 0.398 0.089 0.615
20 La 0.398 0.809 0.784
21 La 0.411 0.102 0.885
22 La 0.411 0.809 0.525
23 La 0.475 0.385 0.284
24 La 0.475 0.589 0.191
25 La 0.525 0.411 0.809
26 La 0.525 0.615 0.716
27 La 0.589 0.191 0.475
28 La 0.589 0.898 0.115
29 La 0.602 0.191 0.216
30 La 0.602 0.911 0.385
31 La 0.615 0.398 0.089
32 La 0.615 0.716 0.525
33 La 0.691 0.089 0.975
34 La 0.691 0.102 0.716
35 La 0.716 0.525 0.615
36 La 0.716 0.691 0.102
37 La 0.784 0.398 0.809
38 La 0.784 0.885 0.975
39 La 0.809 0.525 0.411
40 La 0.809 0.784 0.398
41 La 0.885 0.411 0.102
42 La 0.885 0.975 0.784
43 La 0.898 0.115 0.589
44 La 0.898 0.284 0.309
45 La 0.911 0.025 0.309
46 La 0.911 0.385 0.602
47 La 0.975 0.691 0.089
48 La 0.975 0.784 0.885
49 Cu 0.125 0.250 0.375
50 Cu 0.125 0.375 0.750
51 Cu 0.250 0.375 0.125
52 Cu 0.250 0.875 0.625
53 Cu 0.375 0.125 0.250
54 Cu 0.375 0.750 0.125
55 Cu 0.625 0.250 0.875
56 Cu 0.625 0.875 0.750
57 Cu 0.750 0.125 0.375
58 Cu 0.750 0.625 0.875
59 Cu 0.875 0.625 0.250
60 Cu 0.875 0.750 0.625
61 H 0.000 0.000 0.000
62 H 0.000 0.000 0.500
63 H 0.000 0.500 0.000
64 H 0.000 0.500 0.500
65 H 0.125 0.750 0.875
66 H 0.125 0.875 0.250
67 H 0.250 0.125 0.875
68 H 0.250 0.625 0.375
69 H 0.375 0.250 0.625
70 H 0.375 0.625 0.750
71 H 0.500 0.000 0.000
72 H 0.500 0.000 0.500
73 H 0.500 0.500 0.000
74 H 0.500 0.500 0.500
75 H 0.625 0.375 0.250
76 H 0.625 0.750 0.375
77 H 0.750 0.375 0.625
78 H 0.750 0.875 0.125
79 H 0.875 0.125 0.750
80 H 0.875 0.250 0.125

Compound: La2CuH2
Source: the Alexandria database
Functional: PBE
Structure: optimized geometry

The calculation puts the density of states at the Fermi level at 0.996 states/eV/atom. The energy above the most stable polymorph in this dataset is 0 meV/atom. The electronic total energy comes out at -4.5165 eV per atom. The space-group type is I4/mmm.

Unit cell a=7.114 b=7.114 c=7.114 alpha=149.05 beta=149.05 gamma=44.34
Fractional positions:
1 La 0.140 0.140 0.000
2 La 0.860 0.860 0.000
3 Cu 0.500 0.500 0.000
4 H 0.250 0.750 0.500
5 H 0.750 0.250 0.500

Compound: La2CuH
Source: the Alexandria database
Functional: PBE
Structure: optimized geometry

The calculation puts the density of states at the Fermi level at 1.724 states/eV/atom. The energy above the most stable polymorph in this dataset is 191 meV/atom. The electronic total energy comes out at -4.3078 eV per atom. The space-group type is Fm-3m.

Unit cell a=4.993 b=4.993 c=4.993 alpha=60.00 beta=60.00 gamma=60.00
Fractional positions:
1 La 0.250 0.250 0.250
2 La 0.750 0.750 0.750
3 Cu 0.000 0.000 0.000
4 H 0.500 0.500 0.500

Compound: La3Cu5H12
Source: the Alexandria database
Functional: PBE
Structure: optimized geometry

The calculation puts the density of states at the Fermi level at 0.157 states/eV/atom. The electronic total energy comes out at -3.9708 eV per atom. The space-group type is Ia-3d.

Unit cell a=10.430 b=10.430 c=10.430 alpha=109.47 beta=109.47 gamma=109.47
Fractional positions:
1 La 0.125 0.250 0.375
2 La 0.125 0.375 0.750
3 La 0.250 0.375 0.125
4 La 0.250 0.875 0.625
5 La 0.375 0.125 0.250
6 La 0.375 0.750 0.125
7 La 0.625 0.250 0.875
8 La 0.625 0.875 0.750
9 La 0.750 0.125 0.375
10 La 0.750 0.625 0.875
11 La 0.875 0.625 0.250
12 La 0.875 0.750 0.625
13 Cu 0.000 0.000 0.000
14 Cu 0.000 0.000 0.500
15 Cu 0.000 0.500 0.000
16 Cu 0.000 0.500 0.500
17 Cu 0.125 0.750 0.875
18 Cu 0.125 0.875 0.250
19 Cu 0.250 0.125 0.875
20 Cu 0.250 0.625 0.375
21 Cu 0.375 0.250 0.625
22 Cu 0.375 0.625 0.750
23 Cu 0.500 0.000 0.000
24 Cu 0.500 0.000 0.500
25 Cu 0.500 0.500 0.000
26 Cu 0.500 0.500 0.500
27 Cu 0.625 0.375 0.250
28 Cu 0.625 0.750 0.375
29 Cu 0.750 0.375 0.625
30 Cu 0.750 0.875 0.125
31 Cu 0.875 0.125 0.750
32 Cu 0.875 0.250 0.125
33 H 0.007 0.191 0.108
34 H 0.007 0.316 0.899
35 H 0.083 0.691 0.684
36 H 0.083 0.892 0.399
37 H 0.101 0.608 0.417
38 H 0.101 0.993 0.684
39 H 0.108 0.007 0.191
40 H 0.108 0.601 0.917
41 H 0.184 0.191 0.583
42 H 0.184 0.493 0.601
43 H 0.191 0.108 0.007
44 H 0.191 0.583 0.184
45 H 0.309 0.316 0.917
46 H 0.309 0.493 0.392
47 H 0.316 0.899 0.007
48 H 0.316 0.917 0.309
49 H 0.392 0.309 0.493
50 H 0.392 0.583 0.899
51 H 0.399 0.083 0.892
52 H 0.399 0.816 0.507
53 H 0.417 0.101 0.608
54 H 0.417 0.816 0.809
55 H 0.493 0.392 0.309
56 H 0.493 0.601 0.184
57 H 0.507 0.399 0.816
58 H 0.507 0.608 0.691
59 H 0.583 0.184 0.191
60 H 0.583 0.899 0.392
61 H 0.601 0.184 0.493
62 H 0.601 0.917 0.108
63 H 0.608 0.417 0.101
64 H 0.608 0.691 0.507
65 H 0.684 0.083 0.691
66 H 0.684 0.101 0.993
67 H 0.691 0.507 0.608
68 H 0.691 0.684 0.083
69 H 0.809 0.417 0.816
70 H 0.809 0.892 0.993
71 H 0.816 0.507 0.399
72 H 0.816 0.809 0.417
73 H 0.892 0.399 0.083
74 H 0.892 0.993 0.809
75 H 0.899 0.007 0.316
76 H 0.899 0.392 0.583
77 H 0.917 0.108 0.601
78 H 0.917 0.309 0.316
79 H 0.993 0.684 0.101
80 H 0.993 0.809 0.892

Compound: LaCu2H2
Source: the Alexandria database
Functional: PBE
Structure: optimized geometry

The calculation puts the density of states at the Fermi level at 0.499 states/eV/atom. The energy above the most stable polymorph in this dataset is 0 meV/atom. The electronic total energy comes out at -3.8779 eV per atom. The space-group type is I4/mmm.

Unit cell a=6.221 b=6.221 c=6.221 alpha=148.51 beta=148.51 gamma=45.13
Fractional positions:
1 La 0.000 0.000 0.000
2 Cu 0.250 0.750 0.500
3 Cu 0.750 0.250 0.500
4 H 0.420 0.420 0.000
5 H 0.580 0.580 0.000

Compound: La2CuH4
Source: the Alexandria database
Functional: PBE
Structure: optimized geometry

The calculation puts the density of states at the Fermi level at 0.396 states/eV/atom. The electronic total energy comes out at -4.2250 eV per atom. The space-group type is I4/mmm.

Unit cell a=7.268 b=7.268 c=7.268 alpha=150.83 beta=150.83 gamma=41.72
Fractional positions:
1 La 0.146 0.146 0.000
2 La 0.854 0.854 0.000
3 Cu 0.500 0.500 0.000
4 H 0.000 0.500 0.500
5 H 0.331 0.331 0.000
6 H 0.500 0.000 0.500
7 H 0.669 0.669 0.000